Record 1
# TlTe2

TlTe2 after structural relaxation (PBE, Alexandria).

Energy above the lowest structure with this stoichiometry (kJ per mole of atoms): 16.2
Formation energy without anion corrections (eV/atom): 0.03

Cell and atoms, written as POSCAR:
```
TlTe2
1.0
-2.421 2.421 16.372
2.421 -2.421 16.372
2.421 2.421 -16.372
Tl Te
4 8
Direct
0.295 0.545 0.750 Tl
0.455 0.705 0.750 Tl
0.545 0.295 0.250 Tl
0.705 0.455 0.250 Tl
0.034 0.784 0.250 Te
0.111 0.361 0.750 Te
0.216 0.966 0.250 Te
0.361 0.111 0.250 Te
0.639 0.889 0.750 Te
0.784 0.034 0.750 Te
0.889 0.639 0.250 Te
0.966 0.216 0.750 Te
```


Record 2
# CdRh3W

CdRh3W after structural relaxation (PBE, Alexandria).

Energy above the lowest structure with this stoichiometry (kJ per mole of atoms): 0.0
Energy relative to the elements (eV/f.u.): 4.47

Cell and atoms, written as POSCAR:
```
CdRh3W
1.0
4.719 0.000 0.000
0.000 4.719 0.000
0.000 0.000 4.719
Cd Rh W
1 3 1
Direct
0.000 0.000 0.000 Cd
0.000 0.500 0.500 Rh
0.500 0.000 0.500 Rh
0.500 0.500 0.000 Rh
0.500 0.500 0.500 W
```


Record 3
# TbTmSnPt

TbTmSnPt after structural relaxation (PBE, Alexandria).

Energy relative to the elements (eV/f.u.): -3.43

Cell and atoms, written as POSCAR:
```
TbTmSnPt
1.0
0.000 3.625 3.625
3.625 0.000 3.625
3.625 3.625 0.000
Tb Tm Sn Pt
1 1 1 1
Direct
0.000 0.000 0.000 Tb
0.500 0.500 0.500 Tm
0.750 0.750 0.750 Sn
0.250 0.250 0.250 Pt
```


Number 1: volume 31.97 Å³/atom. Number 2: volume 21.01 Å³/atom. Number 3: volume 23.81 Å³/atom.